Record 1
DFT (GGA-PBE) results for crystalline Nd3SmRh at its relaxed geometry.

a = 5.589 Å, b = 5.589 Å, c = 5.589 Å
α = 90.00°, β = 90.00°, γ = 90.00°
Each line ends with the local moment (μB).
Sites, in units of the cell vectors:
Rh: 0.000 0.000 0.000  0.04
Nd: 0.000 0.500 0.000  0.08
Nd: 0.000 0.000 0.500  0.08
Nd: 0.500 0.000 0.000  0.08
Sm: 0.500 0.500 0.500  0.28

Properties
Offset from the most stable computed form, eV per atom: 0.198
Calculated total energy, eV/atom: -5.399
V, Å³/cell: 174.6
Energy of formation from the pure elements, eV per atom: -0.1238
Total moment, μB/f.u.: 1.24



Record 2
DFT (GGA-PBE) results for crystalline Nd2Sm2Rh3 at its relaxed geometry.

a = 7.637 Å, b = 7.637 Å, c = 7.637 Å
α = 109.47°, β = 109.47°, γ = 109.47°
Sites, in units of the cell vectors:
Nd: 0.500 0.378 0.500
Nd: 0.000 0.000 0.378
Nd: 0.622 0.122 0.122
Nd: 0.878 0.500 0.000
Sm: 0.000 0.000 0.883
Sm: 0.500 0.883 0.500
Sm: 0.117 0.617 0.617
Sm: 0.383 0.500 0.000
Rh: 0.750 0.638 0.388
Rh: 0.250 0.862 0.112
Rh: 0.612 0.750 0.862
Rh: 0.888 0.250 0.638
Rh: 0.362 0.112 0.750
Rh: 0.138 0.388 0.250

Properties
Offset from the most stable computed form, eV per atom: 0.000
Calculated total energy, eV/atom: -6.512
V, Å³/cell: 342.8
Energy of formation from the pure elements, eV per atom: -0.6508
Total moment, μB/f.u.: 0.00



Record 3
DFT (GGA-PBE) results for crystalline Nd3SmRh at its relaxed geometry.

a = 7.396 Å, b = 8.262 Å, c = 10.392 Å
α = 107.64°, β = 90.00°, γ = 90.00°
Sites, in units of the cell vectors:
Nd: 0.132 0.083 0.390
Nd: 0.868 0.917 0.610
Nd: 0.632 0.917 0.110
Nd: 0.368 0.083 0.890
Nd: 0.499 0.780 0.374
Nd: 0.501 0.220 0.626
Nd: 0.999 0.220 0.126
Nd: 0.001 0.780 0.874
Nd: 0.213 0.559 0.520
Nd: 0.787 0.441 0.480
Nd: 0.713 0.441 0.980
Nd: 0.287 0.559 0.020
Sm: 0.967 0.688 0.262
Sm: 0.033 0.312 0.738
Sm: 0.467 0.312 0.238
Sm: 0.533 0.688 0.762
Rh: 0.262 0.926 0.600
Rh: 0.738 0.074 0.400
Rh: 0.762 0.074 0.900
Rh: 0.238 0.926 0.100

Properties
Offset from the most stable computed form, eV per atom: 0.085
Calculated total energy, eV/atom: -5.512
V, Å³/cell: 605.2
Energy of formation from the pure elements, eV per atom: -0.2371
Total moment, μB/f.u.: 0.00



Record 4
DFT (GGA-PBE) results for crystalline Nd3SmRh2 at its relaxed geometry.

a = 4.289 Å, b = 8.631 Å, c = 10.601 Å
α = 72.19°, β = 78.33°, γ = 75.61°
Sites, in units of the cell vectors:
Nd: 0.056 0.095 0.792
Nd: 0.944 0.905 0.208
Nd: 0.674 0.695 0.957
Nd: 0.326 0.305 0.043
Nd: 0.795 0.824 0.585
Nd: 0.205 0.176 0.415
Sm: 0.428 0.469 0.675
Sm: 0.572 0.531 0.325
Rh: 0.868 0.408 0.856
Rh: 0.132 0.592 0.144
Rh: 0.618 0.166 0.598
Rh: 0.382 0.834 0.402

Properties
Calculated total energy, eV/atom: -6.113
V, Å³/cell: 358.5
Energy of formation from the pure elements, eV per atom: -0.4920
Total moment, μB/f.u.: 0.00